# TiMn2O | Alexandria via LeMat-Bulk | PBE with a Hubbard U | relaxed
# Density of states at the Fermi level   2.52 states/eV/f.u.
# VASP energy   -111.8 eV for the cell shown
data_TiMn2O
_cell_length_a 6.134
_cell_length_b 6.134
_cell_length_c 7.875
_cell_angle_alpha 90.00
_cell_angle_beta 90.00
_cell_angle_gamma 90.00
_symmetry_space_group_name_H-M 'I -4 2 d'
_symmetry_Int_Tables_number 122
_symmetry_space_group_name_Hall 'I -4 2bw'
loop_
_atom_site_label
_atom_site_type_symbol
_atom_site_fract_x
_atom_site_fract_y
_atom_site_fract_z
_atom_site_occupancy
Ti1 Ti 0.000 0.000 0.000 1
Mn1 Mn 0.132 0.250 0.625 1
O1 O 0.000 0.000 0.500 1